First-principles (PBE) data for TlOsRh2 after structural relaxation, as listed in Alexandria via LeMat-Bulk.

Properties
**ΔH_f (0 K)**: 2.1 eV/f.u.
**Crystal system**: trigonal
**Electronic total energy**: -26.20 eV for the cell shown
**Magnetization**: 0.0 μB/f.u.

```
TlOsRh2
1.0
1.443 0.833 9.036
-1.443 0.833 9.036
0.000 -1.666 9.036
Tl Os Rh
1 1 2
Cartesian
0.000 0.000 0.000 Tl
0.000 0.000 20.561 Os
0.000 0.000 6.715 Rh
0.000 0.000 13.565 Rh
```